## Tl2Mo3PCO12 (PBE+U)

Data for a relaxed Tl2Mo3PCO12 crystal.

Structure (extended XYZ):
```
19
Lattice="-6.4931 -2.9997 1.7342 -0.7277 -7.2834 -0.6376 0.8327 -4.4813 7.1960" Properties=species:S:1:pos:R:3 pbc="T T T"
Tl -6.3139 -10.5923 3.3164
Tl -2.2603 -7.5772 5.2199
Mo -2.9530 -5.3918 1.6278
Mo -3.5028 -8.8976 1.2826
Mo -6.3878 -6.6870 2.3146
P -1.8873 -3.8412 4.7206
C -5.2926 -7.5604 8.0406
O -2.5316 -9.8661 7.1495
O -2.2040 -5.6460 7.4639
O -6.1211 -10.9954 7.8762
O -2.4928 -7.3448 1.9321
O -5.0758 -8.3019 2.0857
O -4.7568 -5.7374 2.5048
O -0.9339 -5.0541 1.3892
O -3.3131 -3.4064 1.8401
O -0.8135 -2.3606 1.4925
O -2.2926 -5.0292 3.8311
O -2.8186 -9.7440 3.4476
O -5.1007 -7.5391 6.9125
```

## MoPd2CO (PBE+U)

Data for a relaxed MoPd2CO crystal.

Structure (extended XYZ):
```
5
Lattice="3.9591 0.0000 0.0000 0.0000 4.3179 0.0000 0.0000 0.0000 3.9591" Properties=species:S:1:pos:R:3 pbc="T T T"
C 0.0000 2.1590 0.0000
Mo 1.9796 2.1590 1.9796
O 0.0000 0.0000 0.0000
Pd 0.0000 0.0000 1.9796
Pd 1.9796 0.0000 0.0000
```

Values from the calculation:
Fermi-level density of states (states/eV/f.u.): 3.833

## RbMoC2O8 (PBE+U)

Data for a relaxed RbMoC2O8 crystal.

Structure (extended XYZ):
```
12
Lattice="4.7436 -0.0629 0.0392 2.1324 4.2377 0.0392 0.3768 0.2288 8.3231" Properties=species:S:1:pos:R:3 pbc="T T T"
Rb 0.1884 0.1144 4.1616
Mo 0.0000 0.0000 0.0000
C 4.4374 2.6942 1.6404
C 2.8154 1.7094 6.7611
O 4.0858 1.1608 7.0138
O 5.3534 3.2504 0.6561
O 4.8163 2.9243 2.8665
O 2.4365 1.4793 5.5350
O 1.8993 1.1532 7.7454
O 2.9147 3.0896 7.0138
O 4.3381 1.3140 1.3878
O 3.1670 3.2428 1.3878
```

Values from the calculation:
Fermi-level density of states (states/eV/f.u.): 4.349

## ReMoC2O (PBE+U)

Data for a relaxed ReMoC2O crystal.

Structure (extended XYZ):
```
5
Lattice="-2.9281 2.8136 -0.5146 -2.4959 -2.6259 -0.1558 -0.4935 0.2284 4.0570" Properties=species:S:1:pos:R:3 pbc="T T T"
Re -1.2480 -1.3130 -0.0779
Mo -2.9588 0.2081 1.6933
C -0.2468 0.1142 2.0285
C -1.4640 1.4068 -0.2573
O 0.0000 0.0000 0.0000
```

Values from the calculation:
Fermi-level density of states (states/eV/f.u.): 3.372

## SbMoC2O (PBE+U)

Data for a relaxed SbMoC2O crystal.

Structure (extended XYZ):
```
5
Lattice="-3.4159 -1.9449 1.0606 -0.0806 -1.8892 -3.7241 2.2139 -3.0663 1.5076" Properties=species:S:1:pos:R:3 pbc="T T T"
Sb -0.0403 -0.9446 -1.8620
Mo -0.6413 -3.4502 -0.5780
C 1.1070 -1.5331 0.7538
C -1.7080 -0.9725 0.5303
O 0.0000 0.0000 0.0000
```

Values from the calculation:
Fermi-level density of states (states/eV/f.u.): 2.288

## Te2MoCO (PBE+U)

Data for a relaxed Te2MoCO crystal.

Structure (extended XYZ):
```
5
Lattice="-2.9076 -3.6036 -1.6445 3.0141 -2.8499 0.9159 -1.8802 -0.5399 4.5075" Properties=species:S:1:pos:R:3 pbc="T T T"
Mo 1.5070 -1.4250 0.4580
Te -0.9401 -0.2700 2.2537
Te -1.4538 -1.8018 -0.8223
C -0.8869 -3.4967 1.8894
O 0.0000 0.0000 0.0000
```

Values from the calculation:
Fermi-level density of states (states/eV/f.u.): 3.364

## TlMoCO2 (PBE+U)

Data for a relaxed TlMoCO2 crystal.

Structure (extended XYZ):
```
5
Lattice="3.7897 0.0000 0.0000 0.0000 6.5062 0.0000 0.0000 0.0000 3.7897" Properties=species:S:1:pos:R:3 pbc="T T T"
C 1.8948 3.2531 1.8948
Tl 0.0000 3.2531 0.0000
Mo 0.0000 0.0000 0.0000
O 0.0000 0.0000 1.8948
O 1.8948 0.0000 0.0000
```

Values from the calculation:
Fermi-level density of states (states/eV/f.u.): 2.556

## MoWCO2 (PBE+U)

Data for a relaxed MoWCO2 crystal.

Structure (extended XYZ):
```
5
Lattice="-3.0460 -1.2855 -1.5363 -0.6469 -4.0077 4.6360 -1.9662 2.4529 1.8461" Properties=species:S:1:pos:R:3 pbc="T T T"
C -2.8296 -1.4201 2.4729
Mo 0.0000 0.0000 0.0000
O -0.9831 1.2264 0.9231
O -1.5230 -0.6427 -0.7681
W -0.3234 -2.0039 2.3180
```

Values from the calculation:
Fermi-level density of states (states/eV/f.u.): 0.620

Number 1: energy -6.612 eV per atom. Number 2: energy -4.768 eV per atom. Number 3: energy -6.680 eV per atom. Number 4: energy -6.400 eV per atom. Number 5: energy -4.744 eV per atom. Number 6: energy -4.146 eV per atom. Number 7: energy -5.313 eV per atom. Number 8: energy -6.178 eV per atom.